Below is a geometry-optimized Ba2CrMoO6 structure, with properties calculated at the PBE with a Hubbard U level.

Lattice parameters (Å, degrees): 5.817 5.817 8.023 90.00 90.00 90.00
Space group I4/mmm (No. 139)
Symmetry-distinct sites (fractional):
Ba  0.000  0.500  0.250
Cr  0.000  0.000  0.000
Mo  0.000  0.000  0.500
O  0.000  0.000  0.257
O  0.250  0.250  0.000

The calculation puts the total moment at 8.000 μB per cell. For the total energy, the calculation gives -142.152 eV/cell. As for the calculated density: 6343 kg/m3.